Te2WAu: PBEsol geometry, meta-GGA SCAN.

```
Te2WAu
1.0
-3.262 -1.564 -1.958
2.124 -3.430 -0.799
-0.977 0.584 5.484
Te W Au
2 1 1
Cartesian
0.000 0.000 0.000
-2.404 -1.739 1.074
-0.569 -2.497 -1.378
0.289 -2.672 1.653
```

Output
- Magnetic moment: 0.9 μB/f.u.
- Energy: -52.34 eV/atom
- Formation energy without anion corrections: 0.998 eV/atom
- Relative energy among the computed polymorphs: 642 meV per atom

***

Te2WAu: PBEsol geometry, meta-GGA SCAN.

```
Te2WAu
1.0
-0.399 2.868 1.497
-2.960 0.907 1.022
0.570 -3.065 9.574
Au Te W
1 2 1
Cartesian
-0.648 0.052 3.275
-3.272 3.551 2.971
-2.207 0.827 8.474
-1.416 0.409 5.936
```

Output
- Magnetic moment: 0.0 μB/f.u.
- Energy: -52.95 eV/atom
- Formation energy without anion corrections: 0.390 eV/atom
- Relative energy among the computed polymorphs: 34 meV per atom

***

Te2WAu: PBEsol geometry, meta-GGA SCAN.

```
Te2WAu
1.0
-0.762 -3.745 1.151
0.915 -1.310 -3.658
5.790 -0.660 1.685
Au W Te
1 1 2
Cartesian
2.895 -0.330 0.842
2.972 -2.857 -0.411
1.550 -0.779 -1.511
4.317 -2.408 1.942
```

Output
- Magnetic moment: 0.0 μB/f.u.
- Energy: -52.98 eV/atom
- Formation energy without anion corrections: 0.356 eV/atom
- Relative energy among the computed polymorphs: 0 meV per atom

***

TeWAu: PBEsol geometry, meta-GGA SCAN.

```
TeWAu
1.0
-2.319 1.898 3.465
-1.047 -2.496 3.695
2.102 0.817 3.987
Te Au W
1 1 1
Cartesian
0.000 0.000 0.000
-0.316 0.055 2.787
-0.632 0.109 5.573
```

Output
- Magnetic moment: 2.8 μB/f.u.
- Energy: -57.25 eV/atom
- Formation energy without anion corrections: 1.450 eV/atom
- Relative energy among the computed polymorphs: 851 meV per atom

***

TeWAu: PBEsol geometry, meta-GGA SCAN.

```
TeWAu
1.0
4.473 0.000 0.000
2.236 3.873 0.000
2.236 1.291 3.652
Au W Te
1 1 1
Cartesian
0.000 0.000 0.000
2.236 1.291 0.913
4.473 2.582 1.826
```

Output
- Magnetic moment: 0.8 μB/f.u.
- Energy: -58.02 eV/atom
- Formation energy without anion corrections: 0.678 eV/atom
- Relative energy among the computed polymorphs: 80 meV per atom

***

TeWAu: PBEsol geometry, meta-GGA SCAN.

```
TeWAu
1.0
-2.283 -1.492 1.517
2.128 -1.610 1.618
0.096 5.974 2.810
Au Te W
1 1 1
Cartesian
-0.061 2.618 5.695
-0.071 0.189 3.290
0.012 2.935 2.905
```

Output
- Magnetic moment: 0.0 μB/f.u.
- Energy: -58.10 eV/atom
- Formation energy without anion corrections: 0.599 eV/atom
- Relative energy among the computed polymorphs: 0 meV per atom

***

Te2WAu: PBEsol geometry, meta-GGA SCAN.

```
Te2WAu
1.0
3.460 0.000 0.000
0.000 3.460 0.000
0.000 0.000 7.481
Au Te W
1 2 1
Cartesian
1.730 1.730 5.482
0.000 0.000 6.803
1.730 1.730 2.437
0.000 0.000 3.980
```

Output
- Magnetic moment: 0.0 μB/f.u.
- Energy: -52.85 eV/atom
- Formation energy without anion corrections: 0.486 eV/atom
- Relative energy among the computed polymorphs: 130 meV per atom

***

TeW2Au: PBEsol geometry, meta-GGA SCAN.

```
TeW2Au
1.0
-0.582 -2.557 1.907
0.519 -2.832 -3.640
4.592 2.344 1.789
Au W Te
1 2 1
Cartesian
0.259 -1.416 -1.820
2.368 -2.879 -0.380
2.160 -0.166 0.437
-0.291 -1.279 0.954
```

Output
- Magnetic moment: 0.0 μB/f.u.
- Energy: -60.54 eV/atom
- Formation energy without anion corrections: 0.911 eV/atom

***

YTeAu2: PBEsol geometry, meta-GGA SCAN.

```
YTeAu2
1.0
-3.526 1.539 1.515
-0.915 -3.816 1.746
4.589 2.472 2.527
Au Y Te
2 1 1
Cartesian
-0.725 1.354 2.580
0.048 0.027 0.084
0.801 -1.199 3.084
-2.198 -1.126 1.670
```

Output
- Magnetic moment: 0.0 μB/f.u.
- Energy: -51.52 eV/atom
- Formation energy without anion corrections: -0.672 eV/atom

***

YTe2Au: PBEsol geometry, meta-GGA SCAN.

```
YTe2Au
1.0
4.454 0.000 0.000
2.227 3.857 0.000
2.227 1.286 8.356
Y Te Au
1 2 1
Cartesian
4.454 2.571 4.178
2.227 1.286 5.811
6.681 3.857 2.545
0.000 0.000 0.000
```

Output
- Magnetic moment: 0.0 μB/f.u.
- Energy: -43.81 eV/atom
- Formation energy without anion corrections: -0.931 eV/atom

***

YTe2Au: PBEsol geometry, meta-GGA SCAN.

```
YTe2Au
1.0
4.225 0.000 0.000
0.000 7.654 0.024
-2.112 -3.412 7.149
Te Au Y
4 2 2
Cartesian
0.000 6.098 0.448
0.000 3.393 3.938
2.112 0.038 3.980
2.112 1.785 0.428
0.000 -1.553 3.340
2.112 0.118 6.762
2.112 -2.595 5.498
2.112 4.422 1.814
```

Output
- Magnetic moment: 0.0 μB/f.u.
- Energy: -43.95 eV/atom
- Formation energy without anion corrections: -1.078 eV/atom

***

YTeAu2: PBEsol geometry, meta-GGA SCAN.

```
YTeAu2
1.0
4.003 0.000 0.000
0.000 4.579 -0.016
-2.002 -0.998 4.957
Y Te Au
1 1 2
Cartesian
0.000 2.681 2.688
2.002 2.497 0.414
2.002 -0.592 4.692
2.002 0.288 2.097
```

Output
- Magnetic moment: 0.0 μB/f.u.
- Energy: -51.58 eV/atom
- Formation energy without anion corrections: -0.733 eV/atom

***

- Among the records above, which one has the lowest energy?
  TeW2Au